(1)
First-principles (PBE) data for Rb4NdEr3Se8 after structural relaxation, as listed in the Alexandria database.

Formation energy without anion corrections, meV per atom: -1728
ρ, g/cm³: 5.37
Total DFT energy (no corrections), eV per atom: -4.87

Unit cell a=8.5060 b=8.5060 c=23.9929 alpha=90.00 beta=90.00 gamma=120.00
Closest atoms and distances in Å follow each position.
Space group R-3m (No. 166, hexagonal axes)
One atom of each set of equivalent atoms:
Rb (0.0000, 0.0000, 0.0000) (multiplicity 3)  6 Se 3.41
Rb (0.0000, 0.5000, 0.0000) (multiplicity 9)  6 Se 3.47-3.48
Nd (0.0000, 0.0000, 0.5000) (multiplicity 3)  6 Se 2.97
Er (0.0000, 0.5000, 0.5000) (multiplicity 9)  6 Se 2.89-2.90
Se (0.0000, 0.0000, 0.2310) (multiplicity 6)  3 Er 2.90
Se (0.0088, 0.5044, 0.7678) (multiplicity 18)  2 Er 2.89, 1 Nd 2.97

=====

(2)
First-principles (PBE) data for LiTmLuNi after structural relaxation, as listed in the Alexandria database.

ρ, g/cm³: 8.53
Total DFT energy (no corrections), eV per atom: -4.36

Unit cell a=6.8315 b=6.8315 c=6.8315 alpha=90.00 beta=90.00 gamma=90.00
Closest atoms and distances in Å follow each position.
Space group F-43m (No. 216)
One atom of each set of equivalent atoms:
Li (0.0000, 0.0000, 0.0000) (multiplicity 4)  4 Lu 2.96, 4 Tm 2.96
Tm (0.2500, 0.2500, 0.7500) (multiplicity 4)  4 Li 2.96, 4 Ni 2.96
Lu (0.2500, 0.2500, 0.2500) (multiplicity 4)  4 Ni 2.96, 4 Li 2.96
Ni (0.0000, 0.0000, 0.5000) (multiplicity 4)  4 Tm 2.96, 4 Lu 2.96

=====

(3)
First-principles (PBE) data for CePuTeSe2 after structural relaxation, as listed in the Alexandria database.

Formation energy without anion corrections, meV per atom: -1216
ρ, g/cm³: 7.67
Total DFT energy (no corrections), eV per atom: -7.29

Unit cell a=4.5679 b=4.5679 c=13.8874 alpha=90.00 beta=90.00 gamma=90.00
Closest atoms and distances in Å follow each position.
Space group I4mm (No. 107)
One atom of each set of equivalent atoms:
Ce (0.0000, 0.0000, 0.0000) (multiplicity 2)  4 Se 2.86
Pu (0.0000, 0.0000, 0.7479) (multiplicity 2)  4 Se 2.86
Te (0.0000, 0.0000, 0.3741) (multiplicity 2)  4 Ce 3.67, 4 Pu 3.67
Se (0.0000, 0.5000, 0.1245) (multiplicity 4)  2 Pu 2.86, 2 Ce 2.86